(1)
SmAlGa2Pd5: optimized geometry, PBE.

Structure (POSCAR):
```
SmAlGa2Pd5
1.0
4.727 0.000 0.000
0.000 4.727 0.000
0.000 0.000 7.305
Sm Al Ga Pd
1 1 2 5
direct
0.000 0.000 0.000 Sm
0.000 0.000 0.500 Al
0.500 0.500 0.335 Ga
0.500 0.500 0.665 Ga
0.000 0.500 0.283 Pd
0.000 0.500 0.717 Pd
0.500 0.000 0.283 Pd
0.500 0.000 0.717 Pd
0.500 0.500 0.000 Pd
```

Properties
Spin magnetization = 0.00 μB per formula unit
Formation energy = -492.4 meV/atom
SG = P4/mmm
DFT total energy = -44.9 eV/f.u.

(2)
MgCuW2: optimized geometry, PBE.

Structure (POSCAR):
```
MgCuW2
1.0
2.624 -4.590 0.000
2.624 4.590 0.000
-0.658 0.000 2.602
Mg Cu W
1 1 2
direct
0.000 0.000 0.000 Mg
0.500 0.500 0.000 Cu
0.000 0.500 0.500 W
0.500 0.000 0.500 W
```

Properties
Spin magnetization = 0.00 μB per formula unit
Formation energy = 430.6 meV/atom
SG = C2/m
DFT total energy = -29.9 eV/f.u.

(3)
SmYSn2: optimized geometry, PBE.

Structure (POSCAR):
```
SmYSn2
1.0
2.010 1.160 8.624
-2.010 1.160 8.624
0.000 -2.321 8.624
Sm Y Sn
1 1 2
direct
0.000 0.000 0.000 Sm
0.500 0.500 0.500 Y
0.249 0.249 0.249 Sn
0.751 0.751 0.751 Sn
```

Properties
Spin magnetization = 0.00 μB per formula unit
Formation energy = -550.8 meV/atom
SG = R-3m
DFT total energy = -21.4 eV/f.u.